No. 1
Here is a relaxed structure of LiScW2O8 from Alexandria via LeMat-Bulk. Energies are from PBEsol.

a = 4.9303 Å, b = 7.4791 Å, c = 7.4791 Å
α = 100.94°, β = 90.61°, γ = 90.61°
Last column: nearest neighbours and their distance in Å.
Atoms (fractional coordinates):
Li: 0.2500 0.6548 0.3452  4 O 2.06-2.11
Li: 0.7500 0.3452 0.6548  4 O 2.06-2.11
Sc: 0.2500 0.1634 0.8366  6 O 2.07-2.16
Sc: 0.7500 0.8366 0.1634  6 O 2.07-2.16
W: 0.2526 0.1682 0.3476  4 O 1.79-1.95
W: 0.7474 0.8318 0.6524  4 O 1.79-1.95
W: 0.2474 0.6524 0.8318  4 O 1.79-1.95
W: 0.7526 0.3476 0.1682  4 O 1.79-1.95
O: 0.9033 0.0558 0.6924  1 W 1.81
O: 0.0967 0.9442 0.3076  1 W 1.81
O: 0.5967 0.3076 0.9442  1 W 1.81
O: 0.4033 0.6924 0.0558  1 W 1.81
O: 0.4334 0.9121 0.8009  1 W 1.95, 1 Sc 2.07
O: 0.5666 0.0879 0.1991  1 W 1.95, 1 Sc 2.07
O: 0.0666 0.1991 0.0879  1 W 1.95, 1 Sc 2.07
O: 0.9334 0.8009 0.9121  1 W 1.95, 1 Sc 2.07
O: 0.3962 0.1889 0.5720  1 W 1.79
O: 0.6038 0.8111 0.4280  1 W 1.79
O: 0.1038 0.4280 0.8111  1 W 1.79
O: 0.8962 0.5720 0.1889  1 W 1.79
O: 0.0595 0.6921 0.5932  2 W 1.88-2.07, 1 Li 2.06
O: 0.9405 0.3079 0.4068  2 W 1.88-2.07, 1 Li 2.06
O: 0.4405 0.4068 0.3079  2 W 1.88-2.07, 1 Li 2.06
O: 0.5595 0.5932 0.6921  2 W 1.88-2.07, 1 Li 2.06

Summary:
Symmetry: C2/c (15)
Total magnetic moment: 0.00 μB per formula unit
Mass density: 6717 kg/m3
ΔE_f (raw): -241.2 kJ/mol of atoms
Uncorrected energy: -9.01 eV per atom

No. 2
Here is a relaxed structure of LiScWO2 from Alexandria via LeMat-Bulk. Energies are from PBEsol.

a = 3.8525 Å, b = 3.8525 Å, c = 4.8862 Å
α = 90.00°, β = 90.00°, γ = 90.00°
Last column: nearest neighbours and their distance in Å.
Atoms (fractional coordinates):
Sc: 0.5000 0.5000 0.5000  4 Li 2.72
O: 0.0000 0.5000 0.0000  2 W 1.93
O: 0.5000 0.0000 0.0000  2 W 1.93
W: 0.0000 0.0000 0.0000  4 O 1.93
Li: 0.0000 0.0000 0.5000  2 W 2.44, 4 Sc 2.72

Summary:
Symmetry: P4/mmm (123)
Total magnetic moment: 0.00 μB per formula unit
Mass density: 6131 kg/m3
ΔE_f (raw): -71.3 kJ/mol of atoms
Uncorrected energy: -7.31 eV per atom

No. 3
Here is a relaxed structure of Li2Se2O7 from Alexandria via LeMat-Bulk. Energies are from PBEsol.

a = 5.0920 Å, b = 8.4256 Å, c = 13.8592 Å
α = 90.00°, β = 90.00°, γ = 90.00°
Last column: nearest neighbours and their distance in Å.
Atoms (fractional coordinates):
Li: 0.5915 0.5675 0.1006  5 O 1.96-2.08
Li: 0.9085 0.9325 0.6006  5 O 1.96-2.08
Li: 0.4085 0.0675 0.8994  5 O 1.96-2.08
Li: 0.0915 0.4325 0.3994  5 O 1.96-2.08
Li: 0.4085 0.4325 0.8994  5 O 1.96-2.08
Li: 0.0915 0.0675 0.3994  5 O 1.96-2.08
Li: 0.5915 0.9325 0.1006  5 O 1.96-2.08
Li: 0.9085 0.5675 0.6006  5 O 1.96-2.08
Se: 0.7610 0.2500 0.2205  3 O 1.63-1.64
Se: 0.7390 0.2500 0.7205  3 O 1.63-1.64
Se: 0.2390 0.7500 0.7795  3 O 1.63-1.64
Se: 0.2610 0.7500 0.2795  3 O 1.63-1.64
Se: 0.6083 0.2500 0.5031  4 O 1.64-1.79
Se: 0.8917 0.2500 0.0031  4 O 1.64-1.79
Se: 0.3917 0.7500 0.4969  4 O 1.64-1.79
Se: 0.1083 0.7500 0.9969  4 O 1.64-1.79
O: 0.5957 0.4137 0.2064  1 Se 1.63
O: 0.9043 0.0863 0.7064  1 Se 1.63
O: 0.4043 0.9137 0.7936  1 Se 1.63
O: 0.0957 0.5863 0.2936  1 Se 1.63
O: 0.4043 0.5863 0.7936  1 Se 1.63
O: 0.0957 0.9137 0.2936  1 Se 1.63
O: 0.5957 0.0863 0.2064  1 Se 1.63
O: 0.9043 0.4137 0.7064  1 Se 1.63
O: 0.9490 0.2500 0.3164  1 Se 1.64
O: 0.5510 0.2500 0.8164  1 Se 1.64
O: 0.0510 0.7500 0.6836  1 Se 1.64
O: 0.4490 0.7500 0.1836  1 Se 1.64
O: 0.7815 0.4136 0.4926  1 Se 1.64
O: 0.7185 0.0864 0.9926  1 Se 1.64
O: 0.2185 0.9136 0.5074  1 Se 1.64
O: 0.2815 0.5864 0.0074  1 Se 1.64
O: 0.2185 0.5864 0.5074  1 Se 1.64
O: 0.2815 0.9136 0.0074  1 Se 1.64
O: 0.7815 0.0864 0.4926  1 Se 1.64
O: 0.7185 0.4136 0.9926  1 Se 1.64
O: 0.3406 0.2500 0.4376  1 Se 1.64
O: 0.1594 0.2500 0.9376  1 Se 1.64
O: 0.6594 0.7500 0.5624  1 Se 1.64
O: 0.8406 0.7500 0.0624  1 Se 1.64
O: 0.0147 0.2500 0.1240  2 Se 1.79-1.86
O: 0.4853 0.2500 0.6240  2 Se 1.79-1.86
O: 0.9853 0.7500 0.8760  2 Se 1.79-1.86
O: 0.5147 0.7500 0.3760  2 Se 1.79-1.86

Summary:
Symmetry: Pnma (62)
Total magnetic moment: 0.00 μB per formula unit
Mass density: 3170 kg/m3
ΔE_f (raw): -104.7 kJ/mol of atoms
Uncorrected energy: -5.48 eV per atom

No. 4
Here is a relaxed structure of LiSe3O from Alexandria via LeMat-Bulk. Energies are from PBEsol.

a = 4.4452 Å, b = 4.4452 Å, c = 4.4452 Å
α = 90.00°, β = 90.00°, γ = 90.00°
Last column: nearest neighbours and their distance in Å.
Atoms (fractional coordinates):
O: 0.0000 0.0000 0.0000  6 Se 2.22
Se: 0.0000 0.5000 0.0000  2 O 2.22
Se: 0.0000 0.0000 0.5000  2 O 2.22
Se: 0.5000 0.0000 0.0000  2 O 2.22
Li: 0.5000 0.5000 0.5000  12 Se 3.14

Summary:
Symmetry: Pm-3m (221)
Total magnetic moment: 0.00 μB per formula unit
Mass density: 4912 kg/m3
ΔE_f (raw): 0.5 kJ/mol of atoms
Uncorrected energy: -3.75 eV per atom

No. 5
Here is a relaxed structure of LiSeO2 from Alexandria via LeMat-Bulk. Energies are from PBEsol.

a = 3.4051 Å, b = 3.4051 Å, c = 5.8126 Å
α = 72.97°, β = 72.97°, γ = 60.00°
Last column: nearest neighbours and their distance in Å.
Atoms (fractional coordinates):
Se: 0.5000 0.5000 0.5000  6 O 2.18
O: 0.8905 0.8905 0.3285  1 Li 1.80
O: 0.1095 0.1095 0.6715  1 Li 1.80
Li: 0.0000 0.0000 0.0000  2 O 1.80

Summary:
Symmetry: R-3m (166)
Total magnetic moment: 0.00 μB per formula unit
Mass density: 3564 kg/m3
ΔE_f (raw): -63.5 kJ/mol of atoms
Uncorrected energy: -4.74 eV per atom

No. 6
Here is a relaxed structure of Li4SiO4 from Alexandria via LeMat-Bulk. Energies are from PBEsol.

a = 5.1219 Å, b = 5.3280 Å, c = 6.0764 Å
α = 88.71°, β = 89.91°, γ = 89.54°
Last column: nearest neighbours and their distance in Å.
Atoms (fractional coordinates):
Li: 0.8344 0.1995 0.9919  4 O 1.86-1.99
Li: 0.8006 0.1761 0.5309  3 O 1.83-1.98
Li: 0.8171 0.6584 0.7614  4 O 1.93-1.99
Li: 0.3892 0.8477 0.5588  4 O 1.91-2.07
Li: 0.4025 0.2926 0.2283  3 O 1.93-2.06
Li: 0.1906 0.8052 0.9711  4 O 1.85-2.02
Li: 0.0789 0.5253 0.4286  4 O 1.95-2.05
Li: 0.0688 0.9838 0.2827  4 O 1.99-2.17, 1 Li 2.22
Si: 0.6663 0.6880 0.2449  4 O 1.63-1.66
Si: 0.3261 0.3206 0.7524  4 O 1.63-1.69
O: 0.8061 0.8352 0.0394  1 Si 1.63
O: 0.7684 0.8285 0.4691  1 Si 1.66
O: 0.7623 0.3907 0.2629  1 Si 1.66
O: 0.6436 0.3383 0.7590  1 Si 1.63
O: 0.3429 0.6961 0.2510  1 Si 1.66
O: 0.1983 0.6044 0.7261  1 Si 1.65
O: 0.2295 0.1815 0.5197  1 Si 1.69
O: 0.2199 0.1709 0.9743  1 Si 1.65

Summary:
Symmetry: P1 (1)
Total magnetic moment: 0.00 μB per formula unit
Mass density: 2401 kg/m3
ΔE_f (raw): -227.9 kJ/mol of atoms
Uncorrected energy: -6.21 eV per atom

> Look up the total magnetic moment of the third one.

0.00 μB per formula unit

Copy entry 1 word for word.
Here is a relaxed structure of LiScW2O8 from Alexandria via LeMat-Bulk. Energies are from PBEsol.

a = 4.9303 Å, b = 7.4791 Å, c = 7.4791 Å
α = 100.94°, β = 90.61°, γ = 90.61°
Last column: nearest neighbours and their distance in Å.
Atoms (fractional coordinates):
Li: 0.2500 0.6548 0.3452  4 O 2.06-2.11
Li: 0.7500 0.3452 0.6548  4 O 2.06-2.11
Sc: 0.2500 0.1634 0.8366  6 O 2.07-2.16
Sc: 0.7500 0.8366 0.1634  6 O 2.07-2.16
W: 0.2526 0.1682 0.3476  4 O 1.79-1.95
W: 0.7474 0.8318 0.6524  4 O 1.79-1.95
W: 0.2474 0.6524 0.8318  4 O 1.79-1.95
W: 0.7526 0.3476 0.1682  4 O 1.79-1.95
O: 0.9033 0.0558 0.6924  1 W 1.81
O: 0.0967 0.9442 0.3076  1 W 1.81
O: 0.5967 0.3076 0.9442  1 W 1.81
O: 0.4033 0.6924 0.0558  1 W 1.81
O: 0.4334 0.9121 0.8009  1 W 1.95, 1 Sc 2.07
O: 0.5666 0.0879 0.1991  1 W 1.95, 1 Sc 2.07
O: 0.0666 0.1991 0.0879  1 W 1.95, 1 Sc 2.07
O: 0.9334 0.8009 0.9121  1 W 1.95, 1 Sc 2.07
O: 0.3962 0.1889 0.5720  1 W 1.79
O: 0.6038 0.8111 0.4280  1 W 1.79
O: 0.1038 0.4280 0.8111  1 W 1.79
O: 0.8962 0.5720 0.1889  1 W 1.79
O: 0.0595 0.6921 0.5932  2 W 1.88-2.07, 1 Li 2.06
O: 0.9405 0.3079 0.4068  2 W 1.88-2.07, 1 Li 2.06
O: 0.4405 0.4068 0.3079  2 W 1.88-2.07, 1 Li 2.06
O: 0.5595 0.5932 0.6921  2 W 1.88-2.07, 1 Li 2.06

Summary:
Symmetry: C2/c (15)
Total magnetic moment: 0.00 μB per formula unit
Mass density: 6717 kg/m3
ΔE_f (raw): -241.2 kJ/mol of atoms
Uncorrected energy: -9.01 eV per atom

> What is the formula in the first record?

LiScW2O8